# PBE+U FeCoBO4, relaxed
data_FeCoBO4
_cell_length_a 3.145
_cell_length_b 9.400
_cell_length_c 9.509
_cell_angle_alpha 90.00
_cell_angle_beta 90.00
_cell_angle_gamma 90.00
_space_group_name_H-M_alt 'P 1'
_space_group_IT_number 1
loop_
_space_group_symop_operation_xyz
'x,y,z'
loop_
_atom_site_label
_atom_site_type_symbol
_atom_site_fract_x
_atom_site_fract_y
_atom_site_fract_z
Fe1 Fe 0.750 0.381 0.433
Fe2 Fe 0.250 0.619 0.567
Fe3 Fe 0.750 0.881 0.067
Fe4 Fe 0.250 0.119 0.933
Co1 Co 0.750 0.398 0.814
Co2 Co 0.250 0.602 0.186
Co3 Co 0.750 0.898 0.686
Co4 Co 0.250 0.102 0.314
B1 B 0.750 0.333 0.130
B2 B 0.250 0.667 0.870
B3 B 0.750 0.833 0.370
B4 B 0.250 0.167 0.630
O1 O 0.750 0.477 0.130
O2 O 0.250 0.523 0.870
O3 O 0.750 0.977 0.370
O4 O 0.250 0.023 0.630
O5 O 0.750 0.256 0.256
O6 O 0.250 0.744 0.744
O7 O 0.750 0.756 0.244
O8 O 0.250 0.244 0.756
O9 O 0.750 0.258 0.001
O10 O 0.250 0.742 0.999
O11 O 0.750 0.758 0.499
O12 O 0.250 0.242 0.501
O13 O 0.750 0.494 0.615
O14 O 0.250 0.506 0.385
O15 O 0.750 0.994 0.885
O16 O 0.250 0.006 0.115
# Magnetic moment = 8.01 μB/f.u.
# Final energy = -7.02 eV/atom